Entry from Alexandria: a geometry-optimized Mn2Tl structure (PBE).

E_tot (eV/atom): -6.0903
Crystal system: hexagonal
Space group: No. 191

Unit cell a=3.7748 b=3.7748 c=3.9879 alpha=90.00 beta=90.00 gamma=120.00
Closest atoms and distances in Å follow each position.
Sites, in units of the cell vectors:
Mn (0.3333, 0.6667, 0.5000)  3 Mn 2.18
Mn (0.6667, 0.3333, 0.5000)  3 Mn 2.18
Tl (0.0000, 0.0000, 0.0000)  12 Mn 2.95